(1)
Pm2BiSb | PBE-GGA | relaxed

Computed properties:
The calculation puts the size of the total moment at 0.00 Bohr magnetons per cell. For the energy, the calculation gives -21.9 eV for the cell shown.

Cell: 4.5230 4.5230 6.3958 Å, 90.00 90.00 90.00°
Last column: nearest neighbours and their distance in Å.
Space group P4/mmm (No. 123)
Asymmetric unit:
Pm (0.0000, 0.0000, 0.0000)  2 Bi 3.20, 4 Sb 3.20
Pm (0.5000, 0.5000, 0.5000)  2 Sb 3.20, 4 Bi 3.20
Bi (0.0000, 0.0000, 0.5000)  6 Pm 3.20
Sb (0.5000, 0.5000, 0.0000)  6 Pm 3.20


(2)
PmScBi | PBE-GGA | relaxed

Computed properties:
The calculation puts the size of the total moment at 8.12 Bohr magnetons per cell. The offset from the most stable computed form is 1.61 eV/f.u.

Cell: 7.4344 7.4344 7.4344 Å, 90.00 90.00 90.00°
Last column: nearest neighbours and their distance in Å.
Space group F-43m (No. 216)
Asymmetric unit:
Pm (0.0000, 0.0000, 0.0000)  4 Bi 3.22, 4 Sc 3.22
Sc (0.2500, 0.2500, 0.2500)  4 Pm 3.22
Bi (0.2500, 0.2500, 0.7500)  4 Pm 3.22


(3)
PmScBi | PBE-GGA | relaxed

Computed properties:
The calculation puts the size of the total moment at 3.34 Bohr magnetons per cell. The offset from the most stable computed form is 0.00 eV/f.u.

Cell: 7.2245 7.2245 7.2245 Å, 90.00 90.00 90.00°
Last column: nearest neighbours and their distance in Å.
Space group F-43m (No. 216)
Asymmetric unit:
Pm (0.0000, 0.0000, 0.0000)  4 Bi 3.13
Sc (0.0000, 0.0000, 0.5000)  4 Bi 3.13
Bi (0.2500, 0.2500, 0.2500)  4 Sc 3.13, 4 Pm 3.13


(4)
Pm2BiSe | PBE-GGA | relaxed

Computed properties:
The calculation puts the size of the total moment at 0.01 Bohr magnetons per cell. For the energy, the calculation gives -22.4 eV for the cell shown.

Cell: 4.3994 4.3994 6.2209 Å, 90.00 90.00 90.00°
Last column: nearest neighbours and their distance in Å.
Space group P4/mmm (No. 123)
Asymmetric unit:
Pm (0.0000, 0.0000, 0.0000)  2 Bi 3.11, 4 Se 3.11
Pm (0.5000, 0.5000, 0.5000)  2 Se 3.11, 4 Bi 3.11
Bi (0.0000, 0.0000, 0.5000)  6 Pm 3.11
Se (0.5000, 0.5000, 0.0000)  6 Pm 3.11


(5)
Pm2SiBi | PBE-GGA | relaxed

Computed properties:
The calculation puts the size of the total moment at 0.01 Bohr magnetons per cell. For the energy, the calculation gives -21.5 eV for the cell shown.

Cell: 4.4089 4.4089 6.2264 Å, 90.00 90.00 90.00°
Last column: nearest neighbours and their distance in Å.
Space group P4/mmm (No. 123)
Asymmetric unit:
Pm (0.0000, 0.0000, 0.0000)  2 Si 3.11, 4 Bi 3.12
Pm (0.5000, 0.5000, 0.5000)  2 Bi 3.11, 4 Si 3.12
Si (0.0000, 0.0000, 0.5000)  6 Pm 3.11-3.12
Bi (0.5000, 0.5000, 0.0000)  6 Pm 3.11-3.12


(6)
PmSiBi | PBE-GGA | relaxed

Computed properties:
The calculation puts the size of the total moment at 0.01 Bohr magnetons per cell. The offset from the most stable computed form is 0.00 eV/f.u.

Cell: 7.0548 7.0548 7.0548 Å, 90.00 90.00 90.00°
Last column: nearest neighbours and their distance in Å.
Space group F-43m (No. 216)
Asymmetric unit:
Pm (0.0000, 0.0000, 0.0000)  4 Si 3.05
Si (0.2500, 0.2500, 0.7500)  4 Bi 3.05, 4 Pm 3.05
Bi (0.0000, 0.0000, 0.5000)  4 Si 3.05


(7)
Pm5Si2Bi2 | PBE-GGA | relaxed

Computed properties:
The calculation puts the size of the total moment at 0.16 Bohr magnetons per cell. For the energy, the calculation gives -199.7 eV for the cell shown.

Cell: 15.7492 8.1040 8.1269 Å, 90.00 90.00 90.00°
Last column: nearest neighbours and their distance in Å.
Space group Cmce (No. 64)
Asymmetric unit:
Pm (0.0000, 0.0000, 0.0000)  4 Si 3.21-3.23, 2 Bi 3.28, 8 Pm 3.59-3.60
Pm (0.1247, 0.1712, 0.3291)  3 Si 3.07-3.11, 3 Bi 3.28-3.29
Si (0.0000, 0.1231, 0.6226)  1 Si 2.82, 6 Pm 3.07-3.11
Bi (0.2085, 0.0000, 0.0000)  7 Pm 3.28-3.29


(8)
PmSm4Bi5 | PBE-GGA | relaxed

Computed properties:
The calculation puts the size of the total moment at 0.03 Bohr magnetons per cell. For the energy, the calculation gives -106.6 eV for the cell shown.

Cell: 4.5479 4.5479 32.1548 Å, 90.00 90.00 90.00°
Last column: nearest neighbours and their distance in Å.
Space group I4/mmm (No. 139)
Asymmetric unit:
Pm (0.0000, 0.0000, 0.0000)  6 Bi 3.22-3.23
Sm (0.0000, 0.0000, 0.2001)  6 Bi 3.21-3.22
Sm (0.0000, 0.0000, 0.3999)  6 Bi 3.21-3.22
Bi (0.0000, 0.0000, 0.1003)  5 Sm 3.21-3.22, 1 Pm 3.23
Bi (0.0000, 0.0000, 0.3000)  6 Sm 3.21-3.22
Bi (0.0000, 0.0000, 0.5000)  4 Pm 3.22, 2 Sm 3.22


(9)
Pm5Sn2Bi2 | PBE-GGA | relaxed

Computed properties:
The calculation puts the size of the total moment at 0.06 Bohr magnetons per cell. For the energy, the calculation gives -190.1 eV for the cell shown.

Cell: 15.9864 8.3937 8.4282 Å, 90.00 90.00 90.00°
Last column: nearest neighbours and their distance in Å.
Space group Cmce (No. 64)
Asymmetric unit:
Pm (0.0000, 0.0000, 0.0000)  2 Bi 3.27, 4 Sn 3.28-3.29
Pm (0.1328, 0.1689, 0.3335)  3 Sn 3.19-3.31, 3 Bi 3.28-3.35
Sn (0.0000, 0.1324, 0.6324)  1 Sn 3.15, 8 Pm 3.19-3.31
Bi (0.2046, 0.0000, 0.0000)  7 Pm 3.27-3.35


(10)
Tb2Pm3Bi3 | PBE-GGA | relaxed

Computed properties:
The calculation puts the size of the total moment at 0.12 Bohr magnetons per cell. For the energy, the calculation gives -83.5 eV for the cell shown.

Cell: 9.3228 9.3228 6.4891 Å, 90.00 90.00 120.00°
Last column: nearest neighbours and their distance in Å.
Space group P6_3/mcm (No. 193)
Asymmetric unit:
Tb (0.3333, 0.6667, 0.0000)  2 Tb 3.24, 6 Bi 3.30
Pm (0.0000, 0.2457, 0.2500)  5 Bi 3.19-3.52
Bi (0.0000, 0.3914, 0.7500)  5 Pm 3.19-3.52, 4 Tb 3.30


(11)
Pm5Bi4Te | PBE-GGA | relaxed

Computed properties:
The calculation puts the size of the total moment at 0.03 Bohr magnetons per cell. For the energy, the calculation gives -107.5 eV for the cell shown.

Cell: 10.1650 10.1650 6.4244 Å, 90.00 90.00 90.00°
Last column: nearest neighbours and their distance in Å.
Space group I4/m (No. 87)
Asymmetric unit:
Pm (0.0000, 0.0000, 0.0000)  4 Bi 3.21, 2 Te 3.21
Pm (0.1008, 0.3010, 0.5000)  5 Bi 3.20-3.22, 1 Te 3.23
Bi (0.0999, 0.2994, 0.0000)  6 Pm 3.20-3.22
Te (0.0000, 0.0000, 0.5000)  6 Pm 3.21-3.23


(12)
PmBiTe | PBE-GGA | relaxed

Computed properties:
The calculation puts the size of the total moment at 0.00 Bohr magnetons per cell. The offset from the most stable computed form is 1.91 eV/f.u.

Cell: 7.4612 7.4612 7.4612 Å, 90.00 90.00 90.00°
Last column: nearest neighbours and their distance in Å.
Space group F-43m (No. 216)
Asymmetric unit:
Pm (0.0000, 0.0000, 0.0000)  4 Te 3.23
Bi (0.0000, 0.0000, 0.5000)  4 Te 3.23
Te (0.2500, 0.2500, 0.7500)  4 Bi 3.23, 4 Pm 3.23


Question: Among the records above, which one has the highest size of the total moment?
Answer: number 2


Question: Look up the size of the total moment of the first one.
Answer: 0.00 Bohr magnetons per cell


Question: size of the total moment of number 11 (Pm5Bi4Te)?
Answer: 0.03 Bohr magnetons per cell